1.
# In3PbF

Crystalline In3PbF at its relaxed geometry (GGA-PBEsol, Alexandria).

```
data_In3PbF
_chemical_formula_sum 'In3 Pb1 F1'
_space_group_name_H-M_alt 'P m -3 m'
_space_group_IT_number 221
_space_group_name_Hall '-P 4 2 3'
_cell_length_a 4.9827
_cell_length_b 4.9827
_cell_length_c 4.9827
_cell_angle_alpha 90.00
_cell_angle_beta 90.00
_cell_angle_gamma 90.00
loop_
_atom_site_label
_atom_site_type_symbol
_atom_site_fract_x
_atom_site_fract_y
_atom_site_fract_z
_atom_site_occupancy
In1 In 0.0000 0.0000 0.5000 1
Pb1 Pb 0.5000 0.5000 0.5000 1
F1 F 0.0000 0.0000 0.0000 1
```

Calculated values
E	-17.34	eV per cell
density	7.66	Mg/m³
total magnetization	0.000	μB/atom



2.
# In3PdF

Crystalline In3PdF at its relaxed geometry (GGA-PBEsol, Alexandria).

```
data_In3PdF
_chemical_formula_sum 'In3 Pd1 F1'
_space_group_name_H-M_alt 'P m -3 m'
_space_group_IT_number 221
_space_group_name_Hall '-P 4 2 3'
_cell_length_a 5.0620
_cell_length_b 5.0620
_cell_length_c 5.0620
_cell_angle_alpha 90.00
_cell_angle_beta 90.00
_cell_angle_gamma 90.00
loop_
_atom_site_label
_atom_site_type_symbol
_atom_site_fract_x
_atom_site_fract_y
_atom_site_fract_z
_atom_site_occupancy
In1 In 0.0000 0.0000 0.5000 1
Pd1 Pd 0.0000 0.0000 0.0000 1
F1 F 0.5000 0.5000 0.5000 1
```

Calculated values
E	-19.60	eV per cell
density	6.02	Mg/m³
total magnetization	0.000	μB/atom



3.
# Tl2InPdF

Crystalline Tl2InPdF at its relaxed geometry (GGA-PBEsol, Alexandria).

```
data_Tl2InPdF
_chemical_formula_sum 'Tl2 In1 Pd1 F1'
_space_group_name_H-M_alt 'P 4/m m m'
_space_group_IT_number 123
_space_group_name_Hall '-P 4 2'
_cell_length_a 5.2068
_cell_length_b 5.2068
_cell_length_c 5.0883
_cell_angle_alpha 90.00
_cell_angle_beta 90.00
_cell_angle_gamma 90.00
loop_
_atom_site_label
_atom_site_type_symbol
_atom_site_fract_x
_atom_site_fract_y
_atom_site_fract_z
_atom_site_occupancy
Tl1 Tl 0.0000 0.5000 0.0000 1
In1 In 0.0000 0.0000 0.5000 1
Pd1 Pd 0.0000 0.0000 0.0000 1
F1 F 0.5000 0.5000 0.5000 1
```

Calculated values
E	-18.47	eV per cell
density	7.81	Mg/m³
total magnetization	0.000	μB/atom



no.,N(E_F) (states/eV per atom)
1,0.393
2,0.119
3,0.132